# 1
Sr3CrN: optimized geometry, PBE-GGA.

The structure belongs to space group Pm-3m (No. 221); the cell edges are 5.246, 5.246 and 5.246 Å and the angles 90.00°, 90.00° and 90.00°. The distinct sites, in fractional coordinates, are Sr at (0.000, 0.000, 0.500), Cr at (0.500, 0.500, 0.500) and N at (0.000, 0.000, 0.000).

For the electronic total energy, the calculation gives -4.017 eV per atom. The density of states at the Fermi level comes out at 20.54 states/eV/f.u. The value obtained for the energy relative to the elements, uncorrected is 0.58 eV per atom.


# 2
PmDy3Tm6: optimized geometry, PBE-GGA.

The structure belongs to space group R3 (No. 146, hexagonal axes); the cell edges are 9.7341, 9.7341 and 11.5580 Å and the angles 90.00°, 90.00° and 120.00°. The distinct sites, in fractional coordinates, are Pm at (0.0000, 0.0000, 0.0000), Dy at (0.0000, 0.0000, 0.2477), Dy at (0.0000, 0.0000, 0.4988), Dy at (0.0000, 0.0000, 0.7441), Tm at (0.0010, 0.6642, 0.1727) and Tm at (0.0024, 0.3345, 0.0058).

For the electronic total energy, the calculation gives -4.240 eV per atom. The density of states at the Fermi level comes out at 19.82 states/eV/f.u.